[1]
The following is a DFT calculation (GGA-PBE) of Cd2InIr after structural relaxation.

```
Cd2InIr
1.0
2.948 0.055 0.000
-1.337 2.628 0.000
0.000 0.000 10.610
Cd In Ir
2 1 1
Direct
0.000 0.000 0.533
0.000 0.000 0.967
0.500 0.500 0.250
0.500 0.500 0.750
```

Properties
Symmetry: Cmmm
Density of states at the Fermi level (states/eV/f.u.): 2.0
E_tot (eV/atom): -3.09
ΔH_f (0 K) (eV per formula unit): 1.09

[2]
The following is a DFT calculation (GGA-PBE) of CdIn2Ir2 after structural relaxation.

```
CdIn2Ir2
1.0
7.719 0.000 0.000
0.000 7.719 0.000
0.000 0.000 3.163
Cd Ir In
2 4 4
Direct
0.500 0.500 0.000
0.000 0.000 0.000
0.855 0.645 0.000
0.355 0.855 0.000
0.645 0.145 0.000
0.145 0.355 0.000
0.153 0.653 0.500
0.347 0.153 0.500
0.653 0.847 0.500
0.847 0.347 0.500
```

Properties
Symmetry: P4/mbm
Density of states at the Fermi level (states/eV/f.u.): 1.8
E_tot (eV/atom): -4.88
ΔH_f (0 K) (eV per formula unit): -0.26

[3]
The following is a DFT calculation (GGA-PBE) of KCd2InIr after structural relaxation.

```
KCd2InIr
1.0
5.333 0.000 0.000
0.000 5.333 0.000
0.000 0.000 5.155
Cd K Ir In
2 1 1 1
Direct
0.000 0.500 0.000
0.500 0.000 0.000
0.500 0.500 0.500
0.000 0.000 0.000
0.000 0.000 0.500
```

Properties
Symmetry: P4/mmm
Density of states at the Fermi level (states/eV/f.u.): 1.6
E_tot (eV/atom): -3.03
ΔH_f (0 K) (eV per formula unit): -0.63

[4]
The following is a DFT calculation (GGA-PBE) of La5CdIn2Ir2 after structural relaxation.

```
La5CdIn2Ir2
1.0
3.887 0.000 0.000
0.000 12.370 0.000
0.000 0.000 12.370
Ir La In Cd
4 10 4 2
Direct
0.000 0.867 0.367
0.000 0.133 0.633
0.000 0.367 0.133
0.000 0.633 0.867
0.500 0.500 0.000
0.500 0.213 0.066
0.500 0.787 0.934
0.500 0.066 0.787
0.500 0.000 0.500
0.500 0.713 0.434
0.500 0.287 0.566
0.500 0.934 0.213
0.500 0.434 0.287
0.500 0.566 0.713
0.000 0.186 0.314
0.000 0.814 0.686
0.000 0.314 0.814
0.000 0.686 0.186
0.000 0.500 0.500
0.000 0.000 0.000
```

Properties
Symmetry: P4/mbm
Density of states at the Fermi level (states/eV/f.u.): 7.5
E_tot (eV/atom): -5.41
ΔH_f (0 K) (eV per formula unit): -5.34

[5]
The following is a DFT calculation (GGA-PBE) of MgCdIn2Ir after structural relaxation.

```
MgCdIn2Ir
1.0
5.176 0.000 0.000
0.000 5.176 0.000
0.000 0.000 5.086
In Ir Cd Mg
2 1 1 1
Direct
0.000 0.500 0.000
0.500 0.000 0.000
0.000 0.000 0.000
0.500 0.500 0.500
0.000 0.000 0.500
```

Properties
Symmetry: P4/mmm
Density of states at the Fermi level (states/eV/f.u.): 1.9
E_tot (eV/atom): -3.42
ΔH_f (0 K) (eV per formula unit): -0.23

[6]
The following is a DFT calculation (GGA-PBE) of Mg5CdIn2Ir2 after structural relaxation.

```
Mg5CdIn2Ir2
1.0
-2.568 -0.099 3.450
-7.711 -0.264 -5.747
0.343 -9.615 -0.019
Mg Cd In Ir
10 2 4 4
Direct
0.500 0.000 0.500
0.500 0.210 0.079
0.500 0.500 0.000
0.500 0.710 0.421
0.500 0.290 0.579
0.500 0.579 0.710
0.500 0.421 0.290
0.500 0.790 0.921
0.500 0.079 0.790
0.500 0.921 0.210
0.000 0.000 0.000
0.000 0.500 0.500
0.000 0.328 0.828
0.000 0.172 0.328
0.000 0.672 0.172
0.000 0.828 0.672
0.000 0.120 0.620
0.000 0.620 0.880
0.000 0.880 0.380
0.000 0.380 0.120
```

Properties
Symmetry: P4/mbm
Density of states at the Fermi level (states/eV/f.u.): 3.3
E_tot (eV/atom): -3.42
ΔH_f (0 K) (eV per formula unit): -2.08

[7]
The following is a DFT calculation (GGA-PBE) of Cd2InIrO6 after structural relaxation.

```
Cd2InIrO6
1.0
5.564 0.000 -0.024
0.000 5.637 0.000
0.015 0.000 7.998
Ir O Cd In
2 12 4 2
Direct
0.000 0.500 0.000
0.500 0.000 0.500
0.888 0.556 0.235
0.795 0.818 0.557
0.295 0.682 0.057
0.324 0.708 0.436
0.612 0.056 0.265
0.676 0.292 0.564
0.705 0.318 0.943
0.112 0.444 0.765
0.205 0.182 0.443
0.824 0.792 0.936
0.388 0.944 0.735
0.176 0.208 0.064
0.992 0.047 0.748
0.008 0.953 0.252
0.492 0.453 0.248
0.508 0.547 0.752
0.000 0.500 0.500
0.500 0.000 0.000
```

Properties
Formation energy without anion corrections (eV/atom): -0.997
Symmetry: P2_1/c
Density of states at the Fermi level (states/eV/f.u.): 4.7
E_tot (eV/atom): -5.31

[8]
The following is a DFT calculation (GGA-PBE) of CdInIrO6 after structural relaxation.

```
CdInIrO6
1.0
5.471 0.000 0.000
-2.736 4.738 0.000
0.000 0.000 9.209
O In Ir Cd
12 2 2 2
Direct
0.035 0.653 0.867
0.965 0.618 0.367
0.382 0.035 0.133
0.347 0.965 0.633
0.618 0.965 0.867
0.347 0.382 0.867
0.965 0.347 0.133
0.035 0.382 0.633
0.382 0.347 0.367
0.653 0.618 0.133
0.618 0.653 0.633
0.653 0.035 0.367
0.333 0.667 0.250
0.667 0.333 0.750
0.333 0.667 0.750
0.667 0.333 0.250
0.000 0.000 0.500
0.000 0.000 0.000
```

Properties
Formation energy without anion corrections (eV/atom): -0.841
Symmetry: P-31c
Density of states at the Fermi level (states/eV/f.u.): 6.1
E_tot (eV/atom): -5.54

[9]
The following is a DFT calculation (GGA-PBE) of CdInPIr2 after structural relaxation.

```
CdInPIr2
1.0
-0.682 0.841 4.846
4.021 -2.408 0.984
2.609 4.209 -0.363
P In Ir Cd
1 1 2 1
Direct
0.000 0.500 0.000
0.000 0.000 0.000
0.000 0.000 0.500
0.500 0.000 0.000
0.500 0.500 0.500
```

Properties
Symmetry: P4/mmm
Density of states at the Fermi level (states/eV/f.u.): 8.2
E_tot (eV/atom): -3.76
ΔH_f (0 K) (eV per formula unit): 8.00

[10]
The following is a DFT calculation (GGA-PBE) of CdIn2IrPb after structural relaxation.

```
CdIn2IrPb
1.0
-5.139 -0.863 -0.451
0.409 -4.111 3.208
-0.893 3.149 4.149
In Ir Cd Pb
2 1 1 1
Direct
0.000 0.500 0.000
0.500 0.000 0.000
0.000 0.000 0.000
0.500 0.500 0.500
0.000 0.000 0.500
```

Properties
Symmetry: P4/mmm
Density of states at the Fermi level (states/eV/f.u.): 2.7
E_tot (eV/atom): -3.71
ΔH_f (0 K) (eV per formula unit): 0.39

[11]
The following is a DFT calculation (GGA-PBE) of RbCd2InIr after structural relaxation.

```
RbCd2InIr
1.0
5.371 0.000 0.000
0.000 5.371 0.000
0.000 0.000 5.179
In Cd Rb Ir
1 2 1 1
Direct
0.000 0.000 0.500
0.500 0.000 0.000
0.000 0.500 0.000
0.500 0.500 0.500
0.000 0.000 0.000
```

Properties
Symmetry: P4/mmm
Density of states at the Fermi level (states/eV/f.u.): 1.7
E_tot (eV/atom): -3.00
ΔH_f (0 K) (eV per formula unit): -0.58

[12]
The following is a DFT calculation (GGA-PBE) of Sc5Cd2InIr2 after structural relaxation.

```
Sc5Cd2InIr2
1.0
3.510 0.000 0.000
0.000 11.195 0.000
0.000 0.000 11.195
Cd Sc Ir In
4 10 4 2
Direct
0.000 0.829 0.671
0.000 0.671 0.171
0.000 0.171 0.329
0.000 0.329 0.829
0.500 0.294 0.579
0.500 0.579 0.706
0.500 0.079 0.794
0.500 0.921 0.206
0.500 0.706 0.421
0.500 0.500 0.000
0.500 0.206 0.079
0.500 0.421 0.294
0.500 0.000 0.500
0.500 0.794 0.921
0.000 0.628 0.872
0.000 0.128 0.628
0.000 0.372 0.128
0.000 0.872 0.372
0.000 0.500 0.500
0.000 0.000 0.000
```

Properties
Symmetry: P4/mbm
Density of states at the Fermi level (states/eV/f.u.): 10.2
E_tot (eV/atom): -5.90
ΔH_f (0 K) (eV per formula unit): -5.07

- The lowest density of states at the Fermi level belongs to which entry?
  KCd2InIr

- The highest E_tot belongs to which entry?
  RbCd2InIr

- Which of these has the lowest E_tot?
  Sc5Cd2InIr2

- The lowest density of states at the Fermi level belongs to which entry?
  KCd2InIr